{
  "formula": "KPaMnO5",
  "functional": "PBE+U",
  "state": "optimized geometry",
  "lattice": [[-0.1756, -5.0495, 3.7356], [5.6680, 0.1229, -2.7094], [-0.0401, 6.2633, 4.9903]],
  "species": ["K", "K", "Pa", "Pa", "Mn", "Mn", "O", "O", "O", "O", "O", "O", "O", "O", "O", "O"],
  "fractional_positions": [[0.3308, 0.6692, 0.2500], [0.6692, 0.3308, 0.7500], [0.0000, 0.0000, 0.5000], [0.0000, 0.0000, 0.0000], [0.6823, 0.3177, 0.2500], [0.3177, 0.6823, 0.7500], [0.0725, 0.9275, 0.2500], [0.9275, 0.0725, 0.7500], [0.8793, 0.2806, 0.1231], [0.1207, 0.7194, 0.8769], [0.7194, 0.1207, 0.3769], [0.2806, 0.8793, 0.6231], [0.7493, 0.6251, 0.3880], [0.2507, 0.3749, 0.6120], [0.3749, 0.2507, 0.1120], [0.6251, 0.7493, 0.8880]],
  "magnetic_moment_mub_per_fu": 3.00,
  "total_energy_ev_per_atom": -7.696
}